Below is a relaxed Pr5SmMg6 crystal, with properties calculated at the PBE level.

Results
energy relative to the elements = -114 meV/atom
calculated volume = 714 Å³ per cell
total energy = -3.296 eV per atom
DOS(E_F) = 26.1 states/eV per cell

Unit cell a=5.512 b=16.544 c=7.826 alpha=90.00 beta=90.00 gamma=90.00
Space group Cmmm (No. 65)
Inequivalent atoms, fractional coordinates:
Pr: 0.000 0.000 0.000 [2 per cell]
Pr: 0.000 0.333 0.000 [4 per cell]
Pr: 0.000 0.334 0.500 [4 per cell]
Sm: 0.000 0.000 0.500 [2 per cell]
Mg: 0.000 0.166 0.252 [8 per cell]
Mg: 0.000 0.500 0.252 [4 per cell]